Record 1
VASP calculation (PBEsol) on MgGaRu after structural relaxation.

a b c (Å): 4.381 4.459 5.237
angles (deg): 90.00 114.72 90.00
Positions (direct):
Ru (0.243, 0.250, 0.485)
Ru (0.757, 0.750, 0.515)
Mg (0.086, 0.750, 0.172)
Mg (0.914, 0.250, 0.828)
Ga (0.378, 0.750, 0.755)
Ga (0.622, 0.250, 0.245)

Output
Energy relative to the elements, eV per atom: -0.221
Total DFT energy (no corrections), eV/f.u.: -15.89
V, Å³/cell: 93


Record 2
VASP calculation (PBEsol) on Mn2CrO6 after structural relaxation.

a b c (Å): 4.944 4.949 9.493
angles (deg): 90.00 90.00 119.97
Each line ends with the local moment (μB).
Positions (direct):
Mn (0.667, 0.333, 0.000)  2.80
Mn (0.833, 0.667, 0.500)  2.80
Mn (0.167, 0.333, 0.500)  2.80
Mn (0.333, 0.667, 0.000)  2.80
Cr (0.500, 0.000, 0.500)  2.12
Cr (0.000, 0.000, 0.000)  2.12
O (0.500, 0.336, 0.600)  0.01
O (0.500, 0.664, 0.400)  0.01
O (0.664, 0.664, 0.900)  0.01
O (0.000, 0.664, 0.100)  0.01
O (0.664, 0.000, 0.100)  0.01
O (0.836, 0.000, 0.600)  0.01
O (0.164, 0.000, 0.400)  0.01
O (0.836, 0.336, 0.400)  0.01
O (0.336, 0.000, 0.900)  0.01
O (0.000, 0.336, 0.900)  0.01
O (0.336, 0.336, 0.100)  0.01
O (0.164, 0.664, 0.600)  0.01

Output
Total DFT energy (no corrections), eV/f.u.: -75.78
V, Å³/cell: 201
ΔE_f (raw), meV/atom: -1614


Record 3
VASP calculation (PBEsol) on KLiSi2 after structural relaxation.

a b c (Å): 4.868 4.868 4.868
angles (deg): 60.00 60.00 60.00
Positions (direct):
K (0.000, 0.000, 0.000)
Si (0.250, 0.250, 0.250)
Si (0.750, 0.750, 0.750)
Li (0.500, 0.500, 0.500)

Output
Total DFT energy (no corrections), eV/f.u.: -12.45
V, Å³/cell: 82
ΔE_f (raw), meV/atom: 536
Energy above the lowest structure with this stoichiometry, eV/atom: 0.509


Record 4
VASP calculation (PBEsol) on FeNi2Br after structural relaxation.

a b c (Å): 2.988 3.043 6.383
angles (deg): 90.00 90.00 90.00
Each line ends with the local moment (μB).
Positions (direct):
Br (0.500, 0.000, 0.000)  0.05
Fe (0.500, 0.500, 0.500)  3.04
Ni (0.000, 0.000, 0.689)  0.66
Ni (0.000, 0.000, 0.311)  0.66

Output
Total DFT energy (no corrections), eV/f.u.: -21.92
V, Å³/cell: 58
ΔE_f (raw), meV/atom: 306
Energy above the lowest structure with this stoichiometry, eV/atom: 0.000


Record 5
VASP calculation (PBEsol) on AsIr2W after structural relaxation.

a b c (Å): 2.807 3.657 5.828
angles (deg): 90.00 90.00 90.00
Positions (direct):
As (0.500, 0.500, 0.778)
Ir (0.000, 0.000, 0.986)
Ir (0.500, 0.500, 0.258)
W (0.000, 0.000, 0.478)

Output
Energy relative to the elements, eV per atom: 0.195
Total DFT energy (no corrections), eV/f.u.: -37.78
V, Å³/cell: 60


Record 6
VASP calculation (PBEsol) on MnZn2Au after structural relaxation.

a b c (Å): 3.138 3.138 5.902
angles (deg): 90.00 90.00 90.00
Each line ends with the local moment (μB).
Positions (direct):
Au (0.000, 0.000, 0.501)  0.06
Mn (0.500, 0.500, 0.762)  3.52
Zn (0.000, 0.000, 0.996)  -0.04
Zn (0.500, 0.500, 0.241)  -0.01

Output
Energy relative to the elements, eV per atom: 0.015
Total DFT energy (no corrections), eV/f.u.: -16.79
V, Å³/cell: 58


Record 7
VASP calculation (PBEsol) on BaFeAu after structural relaxation.

a b c (Å): 4.781 4.781 4.781
angles (deg): 60.00 60.00 60.00
Each line ends with the local moment (μB).
Positions (direct):
Au (0.000, 0.000, 0.000)  0.05
Ba (0.500, 0.500, 0.500)  -0.03
Fe (0.250, 0.250, 0.250)  2.80

Output
Energy relative to the elements, eV per atom: 0.500
Total DFT energy (no corrections), eV/f.u.: -13.54
V, Å³/cell: 77


Record 8
VASP calculation (PBEsol) on Ce7Pt3 after structural relaxation.

a b c (Å): 6.016 9.695 9.695
angles (deg): 120.00 90.00 90.00
Each line ends with the local moment (μB).
Positions (direct):
Ce (0.910, 0.667, 0.333)  0.05
Ce (0.410, 0.333, 0.667)  0.05
Ce (0.732, 0.267, 0.133)  0.26
Ce (0.732, 0.867, 0.733)  0.26
Ce (0.732, 0.867, 0.133)  0.26
Ce (0.232, 0.733, 0.867)  0.26
Ce (0.232, 0.133, 0.267)  0.26
Ce (0.232, 0.133, 0.867)  0.26
Ce (0.985, 0.077, 0.539)  0.24
Ce (0.985, 0.461, 0.923)  0.24
Ce (0.985, 0.461, 0.539)  0.24
Ce (0.485, 0.923, 0.461)  0.24
Ce (0.485, 0.539, 0.077)  0.24
Ce (0.485, 0.539, 0.461)  0.24
Pt (0.698, 0.621, 0.811)  0.00
Pt (0.698, 0.189, 0.379)  0.00
Pt (0.698, 0.189, 0.811)  0.00
Pt (0.198, 0.379, 0.189)  0.00
Pt (0.198, 0.811, 0.621)  0.00
Pt (0.198, 0.811, 0.189)  0.00

Output
Energy relative to the elements, eV per atom: -0.536
Total DFT energy (no corrections), eV/f.u.: -72.42
V, Å³/cell: 490


> Which formula does entry 1 have?

MgGaRu